Entry from the Alexandria database: an optimized crystal structure of NaGaNCl2 (GGA-PBE).

Lattice parameters (Å, degrees): 4.8388 4.8388 7.9495 90.00 90.00 90.00
With the nearest neighbours (Å) after each atom.
Fractional positions:
Na (0.0000, 0.0000, 0.0000)  4 N 3.42
Ga (0.0000, 0.0000, 0.5000)  4 Cl 2.42
N (0.5000, 0.5000, 0.0000)  4 Na 3.42
Cl (0.0000, 0.5000, 0.5000)  2 Ga 2.42
Cl (0.5000, 0.0000, 0.5000)  2 Ga 2.42

Values from the calculation:
electronic total energy	-0.10281	hartree per atom